[1]
A geometry-optimized Mg4TiO5 structure. Source: Alexandria via LeMat-Bulk, functional PBE.

```
10
Lattice="-0.8751 0.8197 4.0628 4.0759 -0.8343 3.2546 0.9924 4.9914 1.4150" Properties=species:S:1:pos:R:3 pbc="T T T"
O 0.6307 2.4640 4.0599
O 1.6940 4.3683 6.1131
O -0.4384 0.4107 2.0355
O 2.4974 0.6102 2.6277
O 3.5607 2.5145 4.6808
Mg 2.0887 0.9977 4.6699
Mg 2.1026 3.9808 4.0710
Mg 3.1466 2.9543 6.7113
Mg 1.0447 2.0242 2.0296
Ti -0.0009 0.0008 0.0042
```

V: 99.2 Å³/cell
DOS(E_F): 1.98 states/eV per cell

[2]
A geometry-optimized PrY3Te6 structure. Source: Alexandria via LeMat-Bulk, functional PBE.

```
20
Lattice="-0.0690 -0.3231 4.3929 -10.1845 -7.2757 -0.6951 10.5535 -7.3904 -0.3778" Properties=species:S:1:pos:R:3 pbc="T T T"
Te -8.3514 -7.6103 2.6224
Te 0.6340 -3.3529 0.8678
Te 8.6515 -7.3789 0.6976
Te 3.7067 -4.5437 3.0373
Te 3.7112 -11.4577 0.3200
Te -3.4067 -10.4455 0.2827
Te -0.3339 -11.6363 2.4522
Te -1.2390 -6.6698 0.5944
Te -4.6817 -7.6883 2.6743
Te -3.4111 -3.5315 3.0000
Te 4.9817 -7.3009 0.6457
Te 1.5390 -8.3195 2.7256
Y -1.7092 -8.9116 2.6310
Y -4.0209 -5.4093 0.6434
Y 2.0092 -6.0776 0.6890
Y -0.7651 -1.9837 3.1554
Y 1.0652 -13.0055 0.1646
Y 4.3209 -9.5799 2.6766
Pr -6.5280 -9.2501 0.3216
Pr 6.8280 -5.7391 2.9984
```

V: 671.7 Å³/cell

[3]
A geometry-optimized Sc2HgCl structure. Source: Alexandria via LeMat-Bulk, functional PBE.

```
4
Lattice="-0.9484 2.8693 1.3962 -1.3568 -0.7863 -2.9364 -6.6547 -4.2496 4.2128" Properties=species:S:1:pos:R:3 pbc="T T T"
Hg -6.1436 -2.1457 2.3895
Sc -0.0897 -0.0573 0.0568
Sc -3.2376 -2.0675 2.0496
Cl -2.8163 -0.0209 0.2831
```

V: 88.2 Å³/cell
DOS(E_F): 3.85 states/eV per cell
energy above the lowest structure with this stoichiometry: 0.217 eV/atom

[4]
A geometry-optimized RbAsO structure. Source: Alexandria via LeMat-Bulk, functional PBE.

```
6
Lattice="-0.7067 3.1206 1.1622 -1.2777 -2.1123 4.8952 6.6949 0.7432 2.0755" Properties=species:S:1:pos:R:3 pbc="T T T"
O 3.3279 1.5535 5.9446
O -0.3586 2.1305 2.1541
Rb -0.8010 -0.5028 3.9703
Rb 4.4779 1.0683 2.9618
As 1.6475 1.3676 5.4220
As 1.3225 2.3178 2.6738
```

V: 131.5 Å³/cell
DOS(E_F): 1.60 states/eV per cell
energy above the lowest structure with this stoichiometry: 0.165 eV/atom

[5]
A geometry-optimized Pr4Dy3Ho structure. Source: Alexandria via LeMat-Bulk, functional PBE.

```
8
Lattice="3.4818 0.0000 -0.4393 -0.1782 6.7193 -1.4123 -0.2606 -0.9555 11.9522" Properties=species:S:1:pos:R:3 pbc="T T T"
Pr 0.2988 2.2399 2.3683
Pr 2.4114 1.1123 5.0944
Pr 0.6316 4.6515 5.0062
Pr 2.7442 3.5238 7.7323
Dy -0.0891 3.3596 -0.7061
Dy 2.8398 0.0758 8.4896
Dy 0.2033 5.6880 1.6110
Ho 1.7409 0.0000 -0.2197
```

ΔH_f (0 K): 0.165 eV/atom
V: 274.1 Å³/cell
DOS(E_F): 13.49 states/eV per cell
energy above the lowest structure with this stoichiometry: 0.134 eV/atom

[6]
A geometry-optimized CeSmEuSn structure. Source: Alexandria via LeMat-Bulk, functional PBE.

```
4
Lattice="-5.4076 -0.8045 0.8701 -1.6783 -3.7155 3.7450 -2.3245 1.6936 4.7302" Properties=species:S:1:pos:R:3 pbc="T T T"
Ce 0.0000 0.0000 0.0000
Sn -2.3526 -0.7066 2.3363
Sm -4.7052 -1.4132 4.6727
Eu -7.0578 -2.1198 7.0090
```

ΔH_f (0 K): -0.222 eV/atom
V: 120.0 Å³/cell
DOS(E_F): 10.34 states/eV per cell

no.,uncorrected energy (eV/cell)
1,-64.24
2,-114.59
3,-17.12
4,-26.64
5,-36.18
6,-25.82